ThZnPtN: optimized geometry, PBE.

Output
As for the density of states at the Fermi level: 0.31 states/eV per atom. For the raw formation energy, the calculation gives -1.043 eV/atom. The crystal system is tetragonal.

The structure in CIF format:
```
data_ThZnPtN
_chemical_formula_sum 'Th2 Zn2 Pt2 N2'
_symmetry_space_group_name_H-M 'P 4/n m m'
_symmetry_Int_Tables_number 129
_cell_length_a 4.1269
_cell_length_b 4.1269
_cell_length_c 8.7739
_cell_angle_alpha 90.00
_cell_angle_beta 90.00
_cell_angle_gamma 90.00
loop_
_symmetry_equiv_pos_as_xyz
'x,y,z'
'-x,-y,-z'
'-y+1/2,x,z'
'y+1/2,-x,-z'
'-x+1/2,-y+1/2,z'
'x+1/2,y+1/2,-z'
'y,-x+1/2,z'
'-y,x+1/2,-z'
'x+1/2,-y,-z'
'-x+1/2,y,z'
'-y,-x,-z'
'y,x,z'
'-x,y+1/2,-z'
'x,-y+1/2,z'
'y+1/2,x+1/2,-z'
'-y+1/2,-x+1/2,z'
loop_
_atom_site_label
_atom_site_type_symbol
_atom_site_fract_x
_atom_site_fract_y
_atom_site_fract_z
_atom_site_occupancy
Th1 Th 0.2500 0.2500 0.1304 1
Zn1 Zn 0.2500 0.7500 0.5000 1
Pt1 Pt 0.2500 0.2500 0.6714 1
N1 N 0.2500 0.7500 0.0000 1
```